[1]
This record from OQMD describes a geometry-optimized HoMg6Au structure. The functional is PBE.

Values from the calculation:
total magnetization: 0.0 μB per formula unit
raw total energy: -2.2435 eV per atom

```
HoMg6Au
1.0
4.5218 2.6107 2.6753
-4.5218 2.6107 2.6753
0.0000 -5.2214 2.6753
Mg Ho Au
6 1 1
direct
0.2793 0.0890 0.5785
0.5785 0.2793 0.0890
0.4215 0.7207 0.9110
0.9110 0.4215 0.7207
0.7207 0.9110 0.4215
0.0890 0.5785 0.2793
0.0000 0.0000 0.0000
0.5000 0.5000 0.5000
```

[2]
This record from OQMD describes a geometry-optimized Na4CdAgSn2 structure. The functional is PBE.

Values from the calculation:
raw total energy: -2.3039 eV per atom

```
Na4CdAgSn2
1.0
5.0800 0.0000 0.0000
0.0000 5.0800 0.0000
0.0000 0.0000 7.2034
Na Ag Sn Cd
4 1 2 1
direct
0.0000 0.0000 0.5000
0.5000 0.0000 0.2403
0.5000 0.5000 0.0000
0.0000 0.5000 0.7597
0.0000 0.0000 0.0000
0.5000 0.0000 0.7561
0.0000 0.5000 0.2439
0.5000 0.5000 0.5000
```

[3]
This record from OQMD describes a geometry-optimized Sr2Cd3O5 structure. The functional is PBE.

Values from the calculation:
raw total energy: -4.6815 eV per atom

```
Sr2Cd3O5
1.0
-1.6720 2.2423 10.1119
1.6720 -2.2423 10.1119
1.6720 2.2423 -10.1119
Cd Sr O
3 2 5
direct
0.7864 0.2864 0.5000
0.2136 0.7136 0.5000
0.0000 0.5000 0.5000
0.3975 0.8975 0.5000
0.6025 0.1025 0.5000
0.8945 0.3945 0.5000
0.5000 0.5000 0.0000
0.2942 0.2942 0.0000
0.1055 0.6055 0.5000
0.7058 0.7058 0.0000
```